The following is a GGA-PBE calculation of a relaxed SiTc4W crystal, from Alexandria.

Properties
Density of states at the Fermi level = 6.35 states/eV per cell
Space-group type = F-43m, No. 216
E = -57.45 eV for the cell shown

Cell lengths 5.069, 5.069, 5.069 Å; angles 60.00, 60.00, 60.00 degrees
Sites, in units of the cell vectors:
1 W 0.750 0.750 0.750
2 Tc 0.374 0.879 0.374
3 Tc 0.879 0.374 0.374
4 Tc 0.374 0.374 0.879
5 Tc 0.374 0.374 0.374
6 Si 0.000 0.000 0.000



The following is a GGA-PBE calculation of a relaxed Si2TcW4 crystal, from Alexandria.

Properties
Density of states at the Fermi level = 8.20 states/eV per cell
Space-group type = I4/mmm, No. 139
E = -61.41 eV for the cell shown

Cell lengths 4.679, 4.679, 7.021 Å; angles 70.54, 70.54, 90.00 degrees
Sites, in units of the cell vectors:
1 Tc 0.000 0.000 0.000
2 W 0.803 0.803 0.393
3 W 0.000 0.500 0.000
4 W 0.500 0.000 0.000
5 W 0.197 0.197 0.607
6 Si 0.392 0.392 0.217
7 Si 0.608 0.608 0.783



The following is a GGA-PBE calculation of a relaxed Si3TcW crystal, from Alexandria.

Properties
Density of states at the Fermi level = 2.72 states/eV per cell
Space-group type = Pm-3m, No. 221
E = -33.51 eV for the cell shown

Cell lengths 4.703, 4.703, 4.703 Å; angles 90.00, 90.00, 90.00 degrees
Sites, in units of the cell vectors:
1 Si 0.500 0.000 0.000
2 Si 0.000 0.000 0.500
3 Si 0.000 0.500 0.000
4 W 0.000 0.000 0.000
5 Tc 0.500 0.500 0.500



The following is a GGA-PBE calculation of a relaxed Si4TcW crystal, from Alexandria.

Properties
Density of states at the Fermi level = 1.78 states/eV per cell
Space-group type = C2/m, No. 12
E = -47.30 eV for the cell shown

Cell lengths 3.210, 4.533, 6.386 Å; angles 110.56, 90.00, 110.74 degrees
Sites, in units of the cell vectors:
1 Si 0.833 0.166 0.168
2 Si 0.166 0.833 0.335
3 Si 0.834 0.167 0.665
4 Si 0.167 0.834 0.832
5 Tc 0.500 0.500 0.500
6 W 0.500 0.500 0.000



The following is a GGA-PBE calculation of a relaxed Y2SiTc crystal, from Alexandria.

Properties
Density of states at the Fermi level = 3.78 states/eV per cell
Space-group type = Amm2, No. 38
E = -30.42 eV for the cell shown

Cell lengths 4.113, 4.074, 5.750 Å; angles 69.25, 90.00, 90.00 degrees
Sites, in units of the cell vectors:
1 Tc 0.500 0.561 0.753
2 Si 0.000 0.686 0.503
3 Y 0.000 0.985 0.906
4 Y 0.500 0.269 0.338



The following is a GGA-PBE calculation of a relaxed YSi2Tc crystal, from Alexandria.

Properties
Density of states at the Fermi level = 2.21 states/eV per cell
Space-group type = C2/m, No. 12
E = -30.09 eV for the cell shown

Cell lengths 4.239, 4.239, 5.346 Å; angles 69.75, 69.75, 54.63 degrees
Sites, in units of the cell vectors:
1 Y 0.250 0.250 0.250
2 Si 0.028 0.028 0.889
3 Si 0.472 0.472 0.611
4 Tc 0.750 0.750 0.750



The following is a GGA-PBE calculation of a relaxed Y2SiTc crystal, from Alexandria.

Properties
Density of states at the Fermi level = 1.80 states/eV per cell
Space-group type = P4/mmm, No. 123
E = -29.74 eV for the cell shown

Cell lengths 4.749, 4.749, 3.685 Å; angles 90.00, 90.00, 90.03 degrees
Sites, in units of the cell vectors:
1 Si 0.500 0.000 0.500
2 Y 0.500 0.500 0.000
3 Y 0.000 0.000 0.000
4 Tc 0.000 0.500 0.500



The following is a GGA-PBE calculation of a relaxed YSi2Tc crystal, from Alexandria.

Properties
Density of states at the Fermi level = 5.30 states/eV per cell
Space-group type = I-42d, No. 122
E = -56.69 eV for the cell shown

Cell lengths 4.684, 4.684, 8.638 Å; angles 74.27, 74.27, 90.00 degrees
Sites, in units of the cell vectors:
1 Y 0.250 0.750 0.500
2 Y 0.500 0.500 0.000
3 Si 0.875 0.073 0.750
4 Si 0.375 0.177 0.750
5 Si 0.927 0.625 0.250
6 Si 0.823 0.125 0.250
7 Tc 0.000 0.000 0.000
8 Tc 0.750 0.250 0.500



The following is a GGA-PBE calculation of a relaxed YSi2Tc crystal, from Alexandria.

Properties
Density of states at the Fermi level = 3.50 states/eV per cell
Space-group type = Imm2, No. 44
E = -27.99 eV for the cell shown

Cell lengths 5.459, 5.459, 5.459 Å; angles 145.11, 131.45, 61.17 degrees
Sites, in units of the cell vectors:
1 Y 0.743 0.243 0.500
2 Tc 0.469 0.469 0.000
3 Si 0.027 0.027 0.000
4 Si 0.261 0.761 0.500



The following is a GGA-PBE calculation of a relaxed Y2SiTc crystal, from Alexandria.

Properties
Density of states at the Fermi level = 4.16 states/eV per cell
Space-group type = P4mm, No. 99
E = -29.98 eV for the cell shown

Cell lengths 3.312, 3.312, 8.057 Å; angles 90.00, 90.00, 90.00 degrees
Sites, in units of the cell vectors:
1 Si 0.000 0.000 0.562
2 Y 0.000 0.000 0.932
3 Y 0.500 0.500 0.321
4 Tc 0.500 0.500 0.685



The following is a GGA-PBE calculation of a relaxed YSi2Tc crystal, from Alexandria.

Properties
Density of states at the Fermi level = 1.43 states/eV per cell
Space-group type = Fm-3m, No. 225
E = -28.70 eV for the cell shown

Cell lengths 4.553, 4.553, 4.553 Å; angles 60.00, 60.00, 60.00 degrees
Sites, in units of the cell vectors:
1 Y 0.000 0.000 0.000
2 Tc 0.500 0.500 0.500
3 Si 0.250 0.250 0.250
4 Si 0.750 0.750 0.750



The following is a GGA-PBE calculation of a relaxed YSi2Tc crystal, from Alexandria.

Properties
Density of states at the Fermi level = 10.84 states/eV per cell
Space-group type = Pnma, No. 62
E = -121.46 eV for the cell shown

Cell lengths 4.028, 6.731, 10.604 Å; angles 90.00, 90.00, 90.00 degrees
Sites, in units of the cell vectors:
1 Y 0.250 0.131 0.857
2 Y 0.750 0.869 0.143
3 Y 0.750 0.369 0.357
4 Y 0.250 0.631 0.643
5 Si 0.750 0.465 0.848
6 Si 0.250 0.183 0.138
7 Si 0.250 0.035 0.348
8 Si 0.750 0.965 0.652
9 Si 0.750 0.817 0.862
10 Si 0.250 0.683 0.362
11 Si 0.250 0.535 0.152
12 Si 0.750 0.317 0.638
13 Tc 0.250 0.134 0.567
14 Tc 0.750 0.866 0.433
15 Tc 0.750 0.366 0.067
16 Tc 0.250 0.634 0.933



The following is a GGA-PBE calculation of a relaxed YSi2Tc crystal, from Alexandria.

Properties
Density of states at the Fermi level = 4.13 states/eV per cell
Space-group type = I-4m2, No. 119
E = -27.75 eV for the cell shown

Cell lengths 5.167, 5.167, 5.167 Å; angles 134.76, 134.76, 65.90 degrees
Sites, in units of the cell vectors:
1 Tc 0.500 0.500 0.000
2 Si 0.000 0.000 0.000
3 Si 0.250 0.750 0.500
4 Y 0.750 0.250 0.500



The following is a GGA-PBE calculation of a relaxed Y2SiTc2 crystal, from Alexandria.

Properties
Density of states at the Fermi level = 2.30 states/eV per cell
Space-group type = I4/mmm, No. 139
E = -39.39 eV for the cell shown

Cell lengths 9.118, 9.118, 9.118 Å; angles 157.78, 157.78, 31.63 degrees
Sites, in units of the cell vectors:
1 Si 0.000 0.000 0.000
2 Tc 0.250 0.750 0.500
3 Tc 0.750 0.250 0.500
4 Y 0.397 0.397 0.000
5 Y 0.603 0.603 0.000



The following is a GGA-PBE calculation of a relaxed YSi2Tc crystal, from Alexandria.

Properties
Density of states at the Fermi level = 2.09 states/eV per cell
Space-group type = C2/m, No. 12
E = -27.98 eV for the cell shown

Cell lengths 6.068, 4.664, 3.326 Å; angles 83.38, 68.24, 121.23 degrees
Sites, in units of the cell vectors:
1 Si 0.500 0.000 0.500
2 Si 0.000 0.000 0.000
3 Tc 0.000 0.500 0.500
4 Y 0.500 0.500 0.000



The following is a GGA-PBE calculation of a relaxed Y2SiTc crystal, from Alexandria.

Properties
Density of states at the Fermi level = 10.53 states/eV per cell
Space-group type = I-42d, No. 122
E = -54.94 eV for the cell shown

Cell lengths 7.814, 7.814, 6.243 Å; angles 51.26, 51.26, 90.00 degrees
Sites, in units of the cell vectors:
1 Si 0.250 0.750 0.500
2 Si 0.500 0.500 0.000
3 Y 0.375 0.342 0.750
4 Y 0.092 0.625 0.250
5 Y 0.658 0.125 0.250
6 Y 0.875 0.908 0.750
7 Tc 0.000 0.000 0.000
8 Tc 0.750 0.250 0.500



The following is a GGA-PBE calculation of a relaxed Y2SiTc crystal, from Alexandria.

Properties
Density of states at the Fermi level = 3.32 states/eV per cell
Space-group type = Cm, No. 8
E = -29.80 eV for the cell shown

Cell lengths 5.712, 5.712, 4.827 Å; angles 74.45, 74.45, 35.18 degrees
Sites, in units of the cell vectors:
1 Y 0.778 0.778 0.687
2 Y 0.996 0.996 0.024
3 Si 0.536 0.536 0.512
4 Tc 0.189 0.189 0.277



The following is a GGA-PBE calculation of a relaxed YSiTc3 crystal, from Alexandria.

Properties
Density of states at the Fermi level = 4.83 states/eV per cell
Space-group type = Pm-3m, No. 221
E = -30.53 eV for the cell shown

Cell lengths 4.834, 4.834, 4.834 Å; angles 90.00, 90.00, 90.00 degrees
Sites, in units of the cell vectors:
1 Tc 0.000 0.500 0.000
2 Tc 0.500 0.000 0.000
3 Tc 0.000 0.000 0.500
4 Y 0.000 0.000 0.000
5 Si 0.500 0.500 0.500



The following is a GGA-PBE calculation of a relaxed YSi2Tc2 crystal, from Alexandria.

Properties
Density of states at the Fermi level = 3.60 states/eV per cell
Space-group type = I4/mmm, No. 139
E = -39.96 eV for the cell shown

Cell lengths 4.306, 4.306, 5.665 Å; angles 67.67, 67.67, 90.00 degrees
Sites, in units of the cell vectors:
1 Si 0.750 0.250 0.500
2 Si 0.250 0.750 0.500
3 Tc 0.622 0.622 0.757
4 Tc 0.378 0.378 0.243
5 Y 0.000 0.000 0.000



The following is a GGA-PBE calculation of a relaxed YSi2Tc crystal, from Alexandria.

Properties
Density of states at the Fermi level = 2.09 states/eV per cell
Space-group type = Pm, No. 6
E = -29.17 eV for the cell shown

Cell lengths 4.065, 3.349, 5.302 Å; angles 71.73, 90.00, 90.00 degrees
Sites, in units of the cell vectors:
1 Y 0.500 0.777 0.819
2 Tc 0.000 0.495 0.385
3 Si 0.500 0.048 0.282
4 Si 0.000 0.180 0.014



The following is a GGA-PBE calculation of a relaxed Y2SiTc crystal, from Alexandria.

Properties
Density of states at the Fermi level = 2.91 states/eV per cell
Space-group type = Imm2, No. 44
E = -29.78 eV for the cell shown

Cell lengths 6.063, 6.063, 6.063 Å; angles 146.53, 134.58, 57.58 degrees
Sites, in units of the cell vectors:
1 Y 0.750 0.250 0.500
2 Y 0.026 0.026 0.000
3 Si 0.443 0.443 0.000
4 Tc 0.281 0.781 0.500



The following is a GGA-PBE calculation of a relaxed YSi2Tc2 crystal, from Alexandria.

Properties
Density of states at the Fermi level = 3.38 states/eV per cell
Space-group type = I4/mmm, No. 139
E = -41.18 eV for the cell shown

Cell lengths 4.134, 4.134, 5.839 Å; angles 69.27, 69.27, 90.00 degrees
Sites, in units of the cell vectors:
1 Si 0.623 0.623 0.754
2 Si 0.377 0.377 0.246
3 Tc 0.250 0.750 0.500
4 Tc 0.750 0.250 0.500
5 Y 0.000 0.000 0.000



The following is a GGA-PBE calculation of a relaxed YSi3Tc3 crystal, from Alexandria.

Properties
Density of states at the Fermi level = 14.53 states/eV per cell
Space-group type = Pm-3n, No. 223
E = -105.42 eV for the cell shown

Cell lengths 6.563, 6.563, 6.563 Å; angles 90.00, 90.00, 90.00 degrees
Sites, in units of the cell vectors:
1 Si 0.500 0.000 0.750
2 Si 0.250 0.500 0.000
3 Si 0.750 0.500 0.000
4 Si 0.000 0.250 0.500
5 Si 0.500 0.000 0.250
6 Si 0.000 0.750 0.500
7 Y 0.500 0.500 0.500
8 Y 0.000 0.000 0.000
9 Tc 0.500 0.750 0.000
10 Tc 0.250 0.000 0.500
11 Tc 0.750 0.000 0.500
12 Tc 0.500 0.250 0.000
13 Tc 0.000 0.500 0.750
14 Tc 0.000 0.500 0.250



The following is a GGA-PBE calculation of a relaxed Y2Si2Tc crystal, from Alexandria.

Properties
Density of states at the Fermi level = 5.37 states/eV per cell
Space-group type = C2/m, No. 12
E = -75.88 eV for the cell shown

Cell lengths 4.187, 5.820, 9.146 Å; angles 81.86, 76.77, 68.92 degrees
Sites, in units of the cell vectors:
1 Y 0.313 0.264 0.109
2 Y 0.494 0.334 0.678
3 Y 0.687 0.736 0.891
4 Y 0.506 0.666 0.322
5 Si 0.856 0.727 0.561
6 Si 0.144 0.273 0.439
7 Si 0.999 0.124 0.878
8 Si 0.001 0.876 0.122
9 Tc 0.227 0.917 0.629
10 Tc 0.773 0.083 0.371



The following is a GGA-PBE calculation of a relaxed YSi2Tc crystal, from Alexandria.

Properties
Density of states at the Fermi level = 3.13 states/eV per cell
Space-group type = P4/mmm, No. 123
E = -28.05 eV for the cell shown

Cell lengths 4.048, 4.048, 4.107 Å; angles 90.00, 90.00, 90.00 degrees
Sites, in units of the cell vectors:
1 Y 0.000 0.500 0.500
2 Tc 0.500 0.000 0.500
3 Si 0.000 0.000 0.000
4 Si 0.500 0.500 0.000



The following is a GGA-PBE calculation of a relaxed YSi2Tc2 crystal, from Alexandria.

Properties
Density of states at the Fermi level = 4.53 states/eV per cell
Space-group type = P4/mbm, No. 127
E = -80.30 eV for the cell shown

Cell lengths 7.217, 7.217, 3.065 Å; angles 90.00, 90.00, 90.00 degrees
Sites, in units of the cell vectors:
1 Si 0.131 0.369 0.000
2 Si 0.869 0.631 0.000
3 Si 0.631 0.131 0.000
4 Si 0.369 0.869 0.000
5 Y 0.500 0.500 0.000
6 Y 0.000 0.000 0.000
7 Tc 0.348 0.152 0.500
8 Tc 0.652 0.848 0.500
9 Tc 0.848 0.348 0.500
10 Tc 0.152 0.652 0.500



The following is a GGA-PBE calculation of a relaxed YSi2Tc crystal, from Alexandria.

Properties
Density of states at the Fermi level = 2.90 states/eV per cell
Space-group type = Cmmm, No. 65
E = -27.94 eV for the cell shown

Cell lengths 4.574, 4.574, 3.362 Å; angles 90.00, 90.00, 103.49 degrees
Sites, in units of the cell vectors:
1 Si 0.000 0.000 0.000
2 Si 0.500 0.500 0.000
3 Y 0.000 0.500 0.500
4 Tc 0.500 0.000 0.500